(1)
{"formula": "CaEuAsPd", "functional": "PBE", "state": "optimized geometry", "cell": [[7.219, 0.000, 0.000], [0.000, 7.219, 0.000], [0.000, 0.000, 7.219]], "species": ["Ca", "Ca", "Ca", "Ca", "Eu", "Eu", "Eu", "Eu", "As", "As", "As", "As", "Pd", "Pd", "Pd", "Pd"], "frac_coords": [[0.000, 0.000, 0.000], [0.000, 0.500, 0.500], [0.500, 0.000, 0.500], [0.500, 0.500, 0.000], [0.000, 0.000, 0.500], [0.000, 0.500, 0.000], [0.500, 0.000, 0.000], [0.500, 0.500, 0.500], [0.250, 0.250, 0.250], [0.250, 0.750, 0.750], [0.750, 0.250, 0.750], [0.750, 0.750, 0.250], [0.250, 0.250, 0.750], [0.250, 0.750, 0.250], [0.750, 0.250, 0.250], [0.750, 0.750, 0.750]], "delta_e_f_ev_per_atom": -0.866, "dos_at_fermi_per_ev_atom": 3.079}



(2)
{"formula": "CaAsF3", "functional": "PBE", "state": "optimized geometry", "cell": [[4.455, 0.000, 0.000], [0.000, 4.455, 0.000], [0.000, 0.000, 4.455]], "species": ["Ca", "As", "F", "F", "F"], "frac_coords": [[0.000, 0.000, 0.000], [0.500, 0.500, 0.500], [0.000, 0.000, 0.500], [0.000, 0.500, 0.000], [0.500, 0.000, 0.000]], "e_form_raw_ev_per_atom": -2.123, "e_above_lowest_polymorph_ev_per_atom": 0.000, "dos_at_fermi_per_ev_atom": 1.167}



(3)
{"formula": "CaAs2F12", "functional": "PBE", "state": "optimized geometry", "cell": [[5.490, 0.000, 0.000], [0.000, 5.490, 0.000], [0.000, 0.000, 7.662]], "species": ["Ca", "As", "As", "F", "F", "F", "F", "F", "F", "F", "F", "F", "F", "F", "F"], "frac_coords": [[0.000, 0.000, 0.000], [0.000, 0.500, 0.246], [0.500, 0.000, 0.754], [0.000, 0.500, 0.008], [0.000, 0.500, 0.471], [0.222, 0.265, 0.229], [0.222, 0.735, 0.229], [0.265, 0.222, 0.771], [0.265, 0.778, 0.771], [0.500, 0.000, 0.529], [0.500, 0.000, 0.992], [0.735, 0.222, 0.771], [0.735, 0.778, 0.771], [0.778, 0.265, 0.229], [0.778, 0.735, 0.229]], "e_form_raw_ev_per_atom": -2.448, "dos_at_fermi_per_ev_atom": 0.000}



(4)
{"formula": "Ca2As2F", "functional": "PBE", "state": "optimized geometry", "cell": [[6.955, 0.000, 0.000], [0.000, 6.955, 0.000], [0.000, 0.000, 4.560]], "species": ["Ca", "Ca", "Ca", "Ca", "As", "As", "As", "As", "F", "F"], "frac_coords": [[0.185, 0.315, 0.000], [0.315, 0.815, 0.000], [0.685, 0.185, 0.000], [0.815, 0.685, 0.000], [0.122, 0.622, 0.500], [0.378, 0.122, 0.500], [0.622, 0.878, 0.500], [0.878, 0.378, 0.500], [0.000, 0.000, 0.000], [0.500, 0.500, 0.000]], "e_form_raw_ev_per_atom": -1.629, "dos_at_fermi_per_ev_atom": 0.135}



(5)
{"formula": "CaAs2F", "functional": "PBE", "state": "optimized geometry", "cell": [[3.642, 0.000, 0.000], [0.000, 3.642, 0.000], [0.000, 0.000, 23.802]], "species": ["Ca", "Ca", "Ca", "Ca", "As", "As", "As", "As", "As", "As", "As", "As", "F", "F", "F", "F"], "frac_coords": [[0.000, 0.000, 0.000], [0.000, 0.500, 0.250], [0.500, 0.000, 0.750], [0.500, 0.500, 0.500], [0.249, 0.250, 0.125], [0.250, 0.749, 0.375], [0.250, 0.751, 0.875], [0.251, 0.250, 0.625], [0.749, 0.750, 0.625], [0.750, 0.249, 0.875], [0.750, 0.251, 0.375], [0.751, 0.750, 0.125], [0.000, 0.000, 0.500], [0.000, 0.500, 0.750], [0.500, 0.000, 0.250], [0.500, 0.500, 0.000]], "e_form_raw_ev_per_atom": -1.419, "e_above_lowest_polymorph_ev_per_atom": 0.000, "dos_at_fermi_per_ev_atom": 0.276}



(6)
{"formula": "CaAsF2", "functional": "PBE", "state": "optimized geometry", "cell": [[3.342, 0.000, 0.000], [-1.671, 2.894, 0.000], [0.000, 0.000, 28.259]], "species": ["Ca", "Ca", "Ca", "As", "As", "As", "F", "F", "F", "F", "F", "F"], "frac_coords": [[0.000, 0.000, 0.000], [0.333, 0.667, 0.667], [0.667, 0.333, 0.333], [0.000, 0.000, 0.500], [0.333, 0.667, 0.167], [0.667, 0.333, 0.833], [0.000, 0.000, 0.372], [0.000, 0.000, 0.628], [0.333, 0.667, 0.039], [0.333, 0.667, 0.295], [0.667, 0.333, 0.705], [0.667, 0.333, 0.961]], "e_form_raw_ev_per_atom": -2.363, "e_above_lowest_polymorph_ev_per_atom": 0.000, "dos_at_fermi_per_ev_atom": 0.399}



(7)
{"formula": "CaAsF2", "functional": "PBE", "state": "optimized geometry", "cell": [[6.392, 0.000, 0.000], [0.000, 6.392, 0.000], [0.000, 0.000, 8.825]], "species": ["Ca", "Ca", "Ca", "Ca", "As", "As", "As", "As", "F", "F", "F", "F", "F", "F", "F", "F"], "frac_coords": [[0.000, 0.000, 0.000], [0.000, 0.500, 0.250], [0.500, 0.000, 0.750], [0.500, 0.500, 0.500], [0.000, 0.000, 0.500], [0.000, 0.500, 0.750], [0.500, 0.000, 0.250], [0.500, 0.500, 0.000], [0.137, 0.250, 0.125], [0.250, 0.637, 0.375], [0.250, 0.863, 0.875], [0.363, 0.250, 0.625], [0.637, 0.750, 0.625], [0.750, 0.137, 0.875], [0.750, 0.363, 0.375], [0.863, 0.750, 0.125]], "e_form_raw_ev_per_atom": -1.973, "e_above_lowest_polymorph_ev_per_atom": 0.391, "dos_at_fermi_per_ev_atom": 0.195}



(8)
{"formula": "Ca3As2F", "functional": "PBE", "state": "optimized geometry", "cell": [[3.058, -6.908, 0.000], [3.058, 6.908, 0.000], [-2.324, 0.000, 13.753]], "species": ["Ca", "Ca", "Ca", "Ca", "Ca", "Ca", "Ca", "Ca", "Ca", "Ca", "Ca", "Ca", "As", "As", "As", "As", "As", "As", "As", "As", "F", "F", "F", "F"], "frac_coords": [[0.002, 0.998, 0.750], [0.125, 0.497, 0.126], [0.155, 0.327, 0.518], [0.327, 0.155, 0.018], [0.389, 0.611, 0.750], [0.497, 0.125, 0.626], [0.503, 0.875, 0.374], [0.611, 0.389, 0.250], [0.673, 0.845, 0.982], [0.845, 0.673, 0.482], [0.875, 0.503, 0.874], [0.998, 0.002, 0.250], [0.036, 0.639, 0.677], [0.134, 0.346, 0.925], [0.346, 0.134, 0.425], [0.361, 0.964, 0.823], [0.639, 0.036, 0.177], [0.654, 0.866, 0.575], [0.866, 0.654, 0.075], [0.964, 0.361, 0.323], [0.284, 0.287, 0.164], [0.287, 0.284, 0.664], [0.713, 0.716, 0.336], [0.716, 0.713, 0.836]], "e_form_raw_ev_per_atom": -1.782, "e_above_lowest_polymorph_ev_per_atom": 0.000}



(9)
{"formula": "CaAs2F", "functional": "PBE", "state": "optimized geometry", "cell": [[6.805, 0.000, 0.000], [0.000, 6.805, 0.000], [0.000, 0.000, 6.805]], "species": ["Ca", "Ca", "Ca", "Ca", "As", "As", "As", "As", "As", "As", "As", "As", "F", "F", "F", "F"], "frac_coords": [[0.000, 0.000, 0.000], [0.000, 0.500, 0.500], [0.500, 0.000, 0.500], [0.500, 0.500, 0.000], [0.250, 0.250, 0.250], [0.250, 0.250, 0.750], [0.250, 0.750, 0.250], [0.250, 0.750, 0.750], [0.750, 0.250, 0.250], [0.750, 0.250, 0.750], [0.750, 0.750, 0.250], [0.750, 0.750, 0.750], [0.000, 0.000, 0.500], [0.000, 0.500, 0.000], [0.500, 0.000, 0.000], [0.500, 0.500, 0.500]], "e_form_raw_ev_per_atom": -0.481, "e_above_lowest_polymorph_ev_per_atom": 0.938, "dos_at_fermi_per_ev_atom": 0.672}



(10)
{"formula": "CaAsF2", "functional": "PBE", "state": "optimized geometry", "cell": [[3.307, 0.000, 0.000], [-1.654, 2.864, 0.000], [0.000, 0.000, 24.902]], "species": ["Ca", "Ca", "Ca", "As", "As", "As", "F", "F", "F", "F", "F", "F"], "frac_coords": [[0.000, 0.000, 0.000], [0.333, 0.667, 0.667], [0.667, 0.333, 0.333], [0.000, 0.000, 0.500], [0.333, 0.667, 0.167], [0.667, 0.333, 0.833], [0.000, 0.000, 0.084], [0.000, 0.000, 0.916], [0.333, 0.667, 0.583], [0.333, 0.667, 0.750], [0.667, 0.333, 0.250], [0.667, 0.333, 0.417]], "e_form_raw_ev_per_atom": -1.242, "e_above_lowest_polymorph_ev_per_atom": 1.121, "dos_at_fermi_per_ev_atom": 0.901}



(11)
{"formula": "CaAsF3", "functional": "PBE", "state": "optimized geometry", "cell": [[4.504, 0.000, 0.000], [0.000, 4.504, 0.000], [0.000, 0.000, 4.504]], "species": ["Ca", "As", "F", "F", "F"], "frac_coords": [[0.000, 0.000, 0.000], [0.500, 0.500, 0.500], [0.000, 0.500, 0.500], [0.500, 0.000, 0.500], [0.500, 0.500, 0.000]], "e_form_raw_ev_per_atom": -1.652, "e_above_lowest_polymorph_ev_per_atom": 0.471, "dos_at_fermi_per_ev_atom": 0.640}



(12)
{"formula": "CaAsF5", "functional": "PBE", "state": "optimized geometry", "cell": [[5.874, 0.000, 0.000], [0.000, 11.082, 0.000], [-2.648, 0.000, 7.756]], "species": ["Ca", "Ca", "Ca", "Ca", "As", "As", "As", "As", "F", "F", "F", "F", "F", "F", "F", "F", "F", "F", "F", "F", "F", "F", "F", "F", "F", "F", "F", "F"], "frac_coords": [[0.062, 0.245, 0.384], [0.062, 0.255, 0.884], [0.938, 0.745, 0.116], [0.938, 0.755, 0.616], [0.492, 0.008, 0.736], [0.492, 0.492, 0.236], [0.508, 0.508, 0.764], [0.508, 0.992, 0.264], [0.139, 0.194, 0.149], [0.139, 0.306, 0.649], [0.199, 0.588, 0.154], [0.199, 0.912, 0.654], [0.262, 0.635, 0.711], [0.262, 0.865, 0.211], [0.344, 0.094, 0.865], [0.344, 0.406, 0.365], [0.358, 0.095, 0.537], [0.358, 0.405, 0.037], [0.642, 0.595, 0.963], [0.642, 0.905, 0.463], [0.656, 0.594, 0.635], [0.656, 0.906, 0.135], [0.738, 0.135, 0.789], [0.738, 0.365, 0.289], [0.801, 0.088, 0.346], [0.801, 0.412, 0.846], [0.861, 0.694, 0.351], [0.861, 0.806, 0.851]], "e_form_raw_ev_per_atom": -2.854, "dos_at_fermi_per_ev_atom": 0.000}



no.,M_tot (μB per formula unit)
1,6.85
2,2.00
3,0.00
4,0.00
5,0.00
6,0.00
7,0.00
8,0.00
9,0.00
10,0.00
11,0.00
12,0.00